[1]
# RbAcAgBr6 | Alexandria via LeMat-Bulk | PBE | optimized geometry
# **ρ**: 3.953 g/cm3
# **Formation energy from raw total energies**: -1.317 eV/atom
# **Spin magnetization**: 1.13 μB/f.u.
# **E_tot**: -59.64 eV/cell
data_RbAcAgBr6
_cell_length_a 7.5545
_cell_length_b 7.5545
_cell_length_c 15.2936
_cell_angle_alpha 90.00
_cell_angle_beta 90.00
_cell_angle_gamma 120.00
_symmetry_space_group_name_H-M 'P -3 1 c'
_symmetry_Int_Tables_number 163
_symmetry_space_group_name_Hall '-P 3 2c'
loop_
_atom_site_label
_atom_site_type_symbol
_atom_site_fract_x
_atom_site_fract_y
_atom_site_fract_z
_atom_site_occupancy
Rb1 Rb 0.0000 0.0000 0.0000 1
Ac1 Ac 0.3333 0.6667 0.2500 1
Ag1 Ag 0.3333 0.6667 0.7500 1
Br1 Br 0.0244 0.3830 0.6392 1



[2]
# Ac4AgRhBr2 | Alexandria via LeMat-Bulk | PBE | optimized geometry
# **ρ**: 7.401 g/cm3
# **Formation energy from raw total energies**: -0.923 eV/atom
# **Spin magnetization**: 0.00 μB/f.u.
# **E_tot**: -37.37 eV/cell
data_Ac4AgRhBr2
_cell_length_a 7.835
_cell_length_b 4.454
_cell_length_c 8.645
_cell_angle_alpha 90.00
_cell_angle_beta 108.04
_cell_angle_gamma 90.00
_symmetry_space_group_name_H-M 'P 1 2/m 1'
_symmetry_Int_Tables_number 10
_symmetry_space_group_name_Hall '-P 2y'
loop_
_atom_site_label
_atom_site_type_symbol
_atom_site_fract_x
_atom_site_fract_y
_atom_site_fract_z
_atom_site_occupancy
Ac1 Ac 0.221 0.000 0.198 1
Ac2 Ac 0.241 0.500 0.798 1
Ag1 Ag 0.500 0.000 0.000 1
Rh1 Rh 0.000 0.500 0.000 1
Br1 Br 0.000 0.000 0.500 1
Br2 Br 0.500 0.500 0.500 1



[3]
# Ac6AgRh2Br3 | Alexandria via LeMat-Bulk | PBE | optimized geometry
# **ρ**: 7.509 g/cm3
# **Formation energy from raw total energies**: -1.016 eV/atom
# **Spin magnetization**: 0.00 μB/f.u.
# **E_tot**: -118.83 eV/cell
data_Ac6AgRh2Br3
_cell_length_a 7.680
_cell_length_b 13.312
_cell_length_c 8.668
_cell_angle_alpha 90.00
_cell_angle_beta 107.08
_cell_angle_gamma 90.00
_symmetry_space_group_name_H-M 'C 1 2/m 1'
_symmetry_Int_Tables_number 12
_symmetry_space_group_name_Hall '-C 2y'
loop_
_atom_site_label
_atom_site_type_symbol
_atom_site_fract_x
_atom_site_fract_y
_atom_site_fract_z
_atom_site_occupancy
Ac1 Ac 0.211 0.000 0.198 1
Ac2 Ac 0.243 0.323 0.198 1
Ag1 Ag 0.000 0.500 0.000 1
Rh1 Rh 0.000 0.167 0.000 1
Br1 Br 0.000 0.000 0.500 1
Br2 Br 0.000 0.331 0.500 1



[4]
# Ac8AgRu3Br4 | Alexandria via LeMat-Bulk | PBE | optimized geometry
# **ρ**: 7.704 g/cm3
# **Formation energy from raw total energies**: -0.845 eV/atom
# **Spin magnetization**: 0.00 μB/f.u.
# **E_tot**: -251.28 eV/cell
data_Ac8AgRu3Br4
_cell_length_a 8.7383
_cell_length_b 8.7383
_cell_length_c 24.9028
_cell_angle_alpha 90.00
_cell_angle_beta 90.00
_cell_angle_gamma 120.00
_symmetry_space_group_name_H-M 'R -3 m'
_symmetry_Int_Tables_number 166
_symmetry_space_group_name_Hall '-R 3 2"'
loop_
_atom_site_label
_atom_site_type_symbol
_atom_site_fract_x
_atom_site_fract_y
_atom_site_fract_z
_atom_site_occupancy
Ac1 Ac 0.0000 0.0000 0.2325 1
Ac2 Ac 0.0199 0.5099 0.7678 1
Ag1 Ag 0.0000 0.0000 0.5000 1
Ru1 Ru 0.0000 0.5000 0.5000 1
Br1 Br 0.0000 0.0000 0.0000 1
Br2 Br 0.0000 0.5000 0.0000 1



[5]
# Ac6AgRu2Br3 | Alexandria via LeMat-Bulk | PBE | optimized geometry
# **ρ**: 7.587 g/cm3
# **Formation energy from raw total energies**: -0.867 eV/atom
# **Spin magnetization**: 0.00 μB/f.u.
# **E_tot**: -122.95 eV/cell
data_Ac6AgRu2Br3
_cell_length_a 7.612
_cell_length_b 13.191
_cell_length_c 8.706
_cell_angle_alpha 90.00
_cell_angle_beta 106.82
_cell_angle_gamma 90.00
_symmetry_space_group_name_H-M 'C 1 2/m 1'
_symmetry_Int_Tables_number 12
_symmetry_space_group_name_Hall '-C 2y'
loop_
_atom_site_label
_atom_site_type_symbol
_atom_site_fract_x
_atom_site_fract_y
_atom_site_fract_z
_atom_site_occupancy
Ac1 Ac 0.206 0.000 0.198 1
Ac2 Ac 0.245 0.320 0.198 1
Ag1 Ag 0.000 0.500 0.000 1
Ru1 Ru 0.000 0.166 0.000 1
Br1 Br 0.000 0.000 0.500 1
Br2 Br 0.000 0.330 0.500 1



[6]
# Ac4AgRuBr2 | Alexandria via LeMat-Bulk | PBE | optimized geometry
# **ρ**: 7.438 g/cm3
# **Formation energy from raw total energies**: -0.817 eV/atom
# **Spin magnetization**: 0.00 μB/f.u.
# **E_tot**: -38.44 eV/cell
data_Ac4AgRuBr2
_cell_length_a 7.787
_cell_length_b 4.416
_cell_length_c 8.687
_cell_angle_alpha 90.00
_cell_angle_beta 107.40
_cell_angle_gamma 90.00
_symmetry_space_group_name_H-M 'P 1 2/m 1'
_symmetry_Int_Tables_number 10
_symmetry_space_group_name_Hall '-P 2y'
loop_
_atom_site_label
_atom_site_type_symbol
_atom_site_fract_x
_atom_site_fract_y
_atom_site_fract_z
_atom_site_occupancy
Ac1 Ac 0.217 0.000 0.197 1
Ac2 Ac 0.239 0.500 0.798 1
Ag1 Ag 0.500 0.000 0.000 1
Ru1 Ru 0.000 0.500 0.000 1
Br1 Br 0.000 0.000 0.500 1
Br2 Br 0.500 0.500 0.500 1